An optimized crystal structure of Rb3ZnCr2F9, computed with PBE with a Hubbard U.

The total energy comes out at -4.98 eV/atom. Its magnetic moment is 8.0 μB/cell.

Lattice parameters (Å, degrees): 6.0001 6.0001 7.3471 90.00 90.00 120.00
Space group P-3m1 (No. 164)
Symmetry-distinct sites (fractional):
Rb 0.0000 0.0000 0.0000 (multiplicity 1)
Rb 0.3333 0.6667 0.6631 (multiplicity 2)
Zn 0.0000 0.0000 0.5000 (multiplicity 1)
Cr 0.3333 0.6667 0.1663 (multiplicity 2)
F 0.0000 0.5000 0.0000 (multiplicity 3)
F 0.1646 0.3291 0.3348 (multiplicity 6)